Density functional theory data (PBE) for a relaxed GaSi3Au crystal.

Structure (extended XYZ):
```
5
Lattice="4.8938 0.0000 0.0000 0.0000 4.8938 0.0000 0.0000 0.0000 4.8938" Properties=species:S:1:pos:R:3 pbc="T T T"
Ga 0.0000 0.0000 0.0000
Si 0.0000 2.4469 2.4469
Si 2.4469 0.0000 2.4469
Si 2.4469 2.4469 0.0000
Au 2.4469 2.4469 2.4469
```

Values from the calculation:
Total DFT energy (no corrections), hartree per atom: -0.1313
Density of states at the Fermi level, states/eV/atom: 0.397
Excess energy over the best structure of this formula in the dataset, eV/f.u.: 0.00
Energy relative to the elements, uncorrected, eV/f.u.: 4.70
Total magnetization, μB/f.u.: 0.00
Space group: Pm-3m, No. 221